Entry 1:
HoPaPC: optimized geometry, PBE.

Calculated values
- Energy of formation from the pure elements: -0.938 eV per atom
- Space-group type: No. 160
- Magnetization: 0.0 μB/f.u.
- Crystal system: trigonal

Lattice parameters (Å, degrees): 6.6087 6.6087 6.6087 33.14 33.14 33.14
Fractional positions:
Ho 0.0000 0.0000 0.0000
Pa 0.4806 0.4806 0.4806
P 0.2413 0.2413 0.2413
C 0.7507 0.7507 0.7507



Entry 2:
HoPRu2C: optimized geometry, PBE.

Calculated values
- Energy of formation from the pure elements: -0.677 eV per atom
- Space-group type: No. 63
- Magnetization: 0.0 μB/f.u.
- Crystal system: orthorhombic

Lattice parameters (Å, degrees): 5.8539 5.8539 7.0487 90.00 90.00 142.45
Fractional positions:
Ho 0.0436 0.9564 0.7500
Ho 0.9564 0.0436 0.2500
P 0.2315 0.7685 0.2500
P 0.7685 0.2315 0.7500
Ru 0.3349 0.6651 0.5528
Ru 0.3349 0.6651 0.9472
Ru 0.6651 0.3349 0.0528
Ru 0.6651 0.3349 0.4472
C 0.5000 0.5000 0.0000
C 0.5000 0.5000 0.5000



Entry 3:
Ho2P2Ru2C: optimized geometry, PBE.

Calculated values
- Energy of formation from the pure elements: -0.875 eV per atom
- Space-group type: No. 12
- Magnetization: 0.0 μB/f.u.
- Crystal system: monoclinic

Lattice parameters (Å, degrees): 5.8069 5.8069 6.6364 124.03 124.03 39.56
Fractional positions:
Ho 0.0648 0.0648 0.3065
Ho 0.9352 0.9352 0.6935
P 0.3290 0.3290 0.3011
P 0.6710 0.6710 0.6989
Ru 0.3003 0.3003 0.9105
Ru 0.6997 0.6997 0.0895
C 0.5000 0.5000 0.0000



Entry 4:
Ho8P3CS4: optimized geometry, PBE.

Calculated values
- ΔE_f (raw): -1.717 eV/atom
- Space-group type: No. 166
- Magnetization: 0.0 μB/f.u.
- Crystal system: trigonal

Lattice parameters (Å, degrees): 7.8167 7.8167 7.8167 59.76 59.76 59.76
Fractional positions:
Ho 0.2474 0.2474 0.2474
Ho 0.2628 0.7329 0.7329
Ho 0.2671 0.2671 0.7372
Ho 0.2671 0.7372 0.2671
Ho 0.7329 0.2628 0.7329
Ho 0.7329 0.7329 0.2628
Ho 0.7372 0.2671 0.2671
Ho 0.7526 0.7526 0.7526
P 0.0000 0.0000 0.5000
P 0.0000 0.5000 0.0000
P 0.5000 0.0000 0.0000
C 0.5000 0.5000 0.5000
S 0.0000 0.0000 0.0000
S 0.0000 0.5000 0.5000
S 0.5000 0.0000 0.5000
S 0.5000 0.5000 0.0000



Entry 5:
Ho4PCS2: optimized geometry, PBE.

Calculated values
- ΔE_f (raw): -1.570 eV/atom
- Space-group type: No. 10
- Magnetization: 0.0 μB/f.u.
- Crystal system: monoclinic

Lattice parameters (Å, degrees): 6.6776 3.8143 6.7191 90.00 109.00 90.00
Fractional positions:
Ho 0.2237 0.0000 0.2202
Ho 0.2369 0.5000 0.7704
Ho 0.7631 0.5000 0.2296
Ho 0.7763 0.0000 0.7798
P 0.5000 0.0000 0.0000
C 0.0000 0.5000 0.0000
S 0.0000 0.0000 0.5000
S 0.5000 0.5000 0.5000



Entry 6:
Ho4PCSe2: optimized geometry, PBE.

Calculated values
- ΔE_f (raw): -1.463 eV/atom
- Space-group type: No. 10
- Magnetization: 0.0 μB/f.u.
- Crystal system: monoclinic

Lattice parameters (Å, degrees): 6.7722 3.8704 6.9393 90.00 108.69 90.00
Fractional positions:
Ho 0.2199 0.0000 0.2104
Ho 0.2394 0.5000 0.7818
Ho 0.7606 0.5000 0.2182
Ho 0.7801 0.0000 0.7896
P 0.5000 0.0000 0.0000
C 0.0000 0.5000 0.0000
Se 0.0000 0.0000 0.5000
Se 0.5000 0.5000 0.5000



Entry 7:
Ho6P2CSe3: optimized geometry, PBE.

Calculated values
- ΔE_f (raw): -1.571 eV/atom
- Space-group type: No. 12
- Magnetization: 0.0 μB/f.u.
- Crystal system: monoclinic

Lattice parameters (Å, degrees): 8.9280 8.9280 8.0447 104.26 104.26 25.30
Fractional positions:
Ho 0.0018 0.0018 0.2126
Ho 0.3308 0.3308 0.4273
Ho 0.3521 0.3521 0.9162
Ho 0.6479 0.6479 0.0838
Ho 0.6692 0.6692 0.5727
Ho 0.9982 0.9982 0.7874
P 0.1656 0.1656 0.3317
P 0.8344 0.8344 0.6683
C 0.5000 0.5000 0.0000
Se 0.1700 0.1700 0.8360
Se 0.5000 0.5000 0.5000
Se 0.8300 0.8300 0.1640



Entry 8:
Ho2Tc2P2C: optimized geometry, PBE.

Calculated values
- Energy of formation from the pure elements: -0.886 eV per atom
- Space-group type: No. 12
- Magnetization: 0.0 μB/f.u.
- Crystal system: monoclinic

Lattice parameters (Å, degrees): 5.9030 5.9030 6.6354 123.05 123.05 38.65
Fractional positions:
Ho 0.0659 0.0659 0.3072
Ho 0.9341 0.9341 0.6928
Tc 0.3014 0.3014 0.9081
Tc 0.6986 0.6986 0.0919
P 0.3265 0.3265 0.2952
P 0.6735 0.6735 0.7048
C 0.5000 0.5000 0.0000



Entry 9:
Ho4Te2PC: optimized geometry, PBE.

Calculated values
- ΔE_f (raw): -1.196 eV/atom
- Space-group type: No. 10
- Magnetization: 0.0 μB/f.u.
- Crystal system: monoclinic

Lattice parameters (Å, degrees): 6.9184 3.9573 7.3246 90.00 108.11 90.00
Fractional positions:
Ho 0.2138 0.0000 0.1953
Ho 0.2431 0.5000 0.7997
Ho 0.7569 0.5000 0.2003
Ho 0.7862 0.0000 0.8047
Te 0.0000 0.0000 0.5000
Te 0.5000 0.5000 0.5000
P 0.5000 0.0000 0.0000
C 0.0000 0.5000 0.0000



Entry 10:
Ho6Te3PC2: optimized geometry, PBE.

Calculated values
- ΔE_f (raw): -1.097 eV/atom
- Space-group type: No. 12
- Magnetization: 0.0 μB/f.u.
- Crystal system: monoclinic

Lattice parameters (Å, degrees): 6.7888 6.7888 7.3310 98.90 98.90 119.98
Fractional positions:
Ho 0.0778 0.4350 0.8045
Ho 0.2073 0.2073 0.1917
Ho 0.4350 0.0778 0.8045
Ho 0.5650 0.9222 0.1955
Ho 0.7927 0.7927 0.8083
Ho 0.9222 0.5650 0.1955
Te 0.0000 0.0000 0.5000
Te 0.3402 0.6598 0.5000
Te 0.6598 0.3402 0.5000
P 0.5000 0.5000 0.0000
C 0.1673 0.8327 0.0000
C 0.8327 0.1673 0.0000



Entry 11:
HoPa4C5: optimized geometry, PBE.

Calculated values
- Energy of formation from the pure elements: -0.430 eV per atom
- Space-group type: No. 71
- Magnetization: 0.0 μB/f.u.
- Crystal system: orthorhombic

Lattice parameters (Å, degrees): 9.5174 9.5174 9.5174 158.16 149.11 38.15
Fractional positions:
Ho 0.0000 0.0000 0.0000
Pa 0.1991 0.1991 0.0000
Pa 0.4014 0.4014 0.0000
Pa 0.5986 0.5986 0.0000
Pa 0.8009 0.8009 0.0000
C 0.1053 0.6053 0.5000
C 0.3018 0.8018 0.5000
C 0.5000 0.0000 0.5000
C 0.6982 0.1982 0.5000
C 0.8947 0.3947 0.5000